(1)
# NaLaIn2Fe PBE relaxed
data_NaLaIn2Fe
_chemical_formula_sum 'Na1 La1 In2 Fe1'
_symmetry_space_group_name_H-M 'P 4/m m m'
_symmetry_Int_Tables_number 123
_symmetry_space_group_name_Hall '-P 4 2'
_cell_length_a 5.185
_cell_length_b 5.185
_cell_length_c 4.926
_cell_angle_alpha 90.00
_cell_angle_beta 90.00
_cell_angle_gamma 90.00
loop_
_atom_site_label
_atom_site_type_symbol
_atom_site_fract_x
_atom_site_fract_y
_atom_site_fract_z
_atom_site_occupancy
Na1 Na 0.000 0.000 0.000 1
La1 La 0.500 0.500 0.000 1
In1 In 0.000 0.500 0.500 1
Fe1 Fe 0.500 0.500 0.500 1
# ΔE_f in eV per atom: -0.1332

(2)
# SrLa2Cu PBE relaxed
data_SrLa2Cu
_chemical_formula_sum 'Sr1 La2 Cu1'
_symmetry_space_group_name_H-M 'P 1 2/m 1'
_symmetry_Int_Tables_number 10
_symmetry_space_group_name_Hall '-P 2y'
_cell_length_a 4.209
_cell_length_b 4.838
_cell_length_c 6.828
_cell_angle_alpha 90.00
_cell_angle_beta 106.28
_cell_angle_gamma 90.00
loop_
_atom_site_label
_atom_site_type_symbol
_atom_site_fract_x
_atom_site_fract_y
_atom_site_fract_z
_atom_site_occupancy
Sr1 Sr 0.000 0.000 0.000 1
La1 La 0.375 0.500 0.700 1
Cu1 Cu 0.000 0.000 0.500 1
# Distance to the lowest polymorph of the same formula in eV per formula unit: 0.54
# ΔE_f in eV per atom: 0.1387

(3)
# CrBr2Cl PBE relaxed
data_CrBr2Cl
_chemical_formula_sum 'Cr1 Br2 Cl1'
_symmetry_space_group_name_H-M 'P 1'
_symmetry_Int_Tables_number 1
_symmetry_space_group_name_Hall 'P 1'
_cell_length_a 3.640
_cell_length_b 4.746
_cell_length_c 7.444
_cell_angle_alpha 88.32
_cell_angle_beta 75.91
_cell_angle_gamma 90.00
loop_
_atom_site_label
_atom_site_type_symbol
_atom_site_fract_x
_atom_site_fract_y
_atom_site_fract_z
_atom_site_occupancy
Cr1 Cr 0.000 0.000 0.000 1
Br1 Br 0.383 0.989 0.241 1
Br2 Br 0.623 0.011 0.758 1
Cl1 Cl 0.015 0.500 0.999 1
# Distance to the lowest polymorph of the same formula in eV per formula unit: 0.00
# Formation energy (no corrections) in meV per atom: -770